# ZrCo3B2O8, optimized geometry, DFT PBE+U
# raw total energy: -7.493 eV per atom
# D(E_F): 0.00 states/eV/f.u.
data_ZrCo3B2O8
_chemical_formula_sum 'Zr2 Co6 B4 O16'
_space_group_name_H-M_alt 'P m c 21'
_space_group_IT_number 26
_cell_length_a 3.3365
_cell_length_b 9.3546
_cell_length_c 9.5521
_cell_angle_alpha 90.00
_cell_angle_beta 90.00
_cell_angle_gamma 90.00
loop_
_space_group_symop_operation_xyz
'x,y,z'
'-x,-y,z+1/2'
'-x,y,z'
'x,-y,z+1/2'
loop_
_atom_site_label
_atom_site_fract_x
_atom_site_fract_y
_atom_site_fract_z
Zr1 0.0000 0.1652 0.0000
Co1 0.0000 0.4376 0.5008
Co2 0.5000 0.0801 0.6919
Co3 0.5000 0.3329 0.2233
B1 0.0000 0.1213 0.4172
B2 0.5000 0.3730 0.7738
O1 0.0000 0.0022 0.8320
O2 0.0000 0.0845 0.5590
O3 0.0000 0.2579 0.3691
O4 0.0000 0.3647 0.0876
O5 0.5000 0.1301 0.1189
O6 0.5000 0.2390 0.8477
O7 0.5000 0.3661 0.6309
O8 0.5000 0.4963 0.8523